The following is a DFT calculation (PBE) of a relaxed CaLaTlSb crystal.

It has space group F-43m (No. 216), with a = 7.850 Å, b = 7.850 Å, c = 7.850 Å, α = 90.00°, β = 90.00° and γ = 90.00°. Symmetry generates all atoms from Ca at (0.000, 0.000, 0.000), La at (0.000, 0.000, 0.500), Tl at (0.250, 0.250, 0.750) and Sb at (0.250, 0.250, 0.250).

Its total magnetic moment is 0.00 μB/cell. As for the final energy: -3.9768 eV per atom. The value obtained for the density is 6.94 Mg/m³. Its density of states at the Fermi level is 3.61 states/eV/f.u. For the energy relative to the elements, uncorrected, the calculation gives -0.62 eV/atom.



The following is a DFT calculation (PBE) of a relaxed FeSnAu3 crystal.

It has space group Pm-3m (No. 221), with a = 4.875 Å, b = 4.875 Å, c = 4.875 Å, α = 90.00°, β = 90.00° and γ = 90.00°. Symmetry generates all atoms from Fe at (0.000, 0.000, 0.000), Sn at (0.500, 0.500, 0.500) and Au at (0.000, 0.000, 0.500).

Its total magnetic moment is 3.06 μB/cell. As for the final energy: -3.9442 eV per atom. The value obtained for the density is 10.97 Mg/m³. Its energy above the lowest structure with this stoichiometry is 0.00 kcal/mol of atoms. For the formation energy, the calculation gives 0.515 eV/atom. Its density of states at the Fermi level is 3.59 states/eV/f.u.



The following is a DFT calculation (PBE) of a relaxed KTe2RhN crystal.

It has space group P4/mmm (No. 123), with a = 6.006 Å, b = 6.006 Å, c = 4.719 Å, α = 90.00°, β = 90.00° and γ = 90.00°. Symmetry generates all atoms from K at (0.000, 0.000, 0.000), Te at (0.000, 0.500, 0.000), Rh at (0.500, 0.500, 0.500) and N at (0.000, 0.000, 0.500).

Its total magnetic moment is 4.64 μB/cell. As for the final energy: -2.6082 eV per atom. The value obtained for the density is 4.01 Mg/m³. Its energy above the lowest structure with this stoichiometry is 45.75 kcal/mol of atoms. Its density of states at the Fermi level is 9.75 states/eV/f.u. For the energy relative to the elements, uncorrected, the calculation gives 2.00 eV/atom.



final energy of number 3 (KTe2RhN)? -2.6082 eV per atom